No. 1
A relaxed Nb2GaCCl crystal. Source: Alexandria via LeMat-Bulk, functional PBE-GGA.

Calculated values
The formation energy without anion corrections is 0.726 eV/atom.

Cell lengths 4.408, 4.408, 4.258 Å; angles 90.00, 90.00, 90.00 degrees
Positions (direct):
Nb1 0.000 0.500 0.000
Nb2 0.500 0.000 0.000
Ga1 0.000 0.000 0.500
C1 0.500 0.500 0.000
Cl1 0.500 0.500 0.500

No. 2
A relaxed GaCClO2 crystal. Source: Alexandria via LeMat-Bulk, functional PBE-GGA.

Calculated values
The formation energy without anion corrections is 0.751 eV/atom.

Cell lengths 3.610, 3.610, 6.574 Å; angles 90.00, 90.00, 90.00 degrees
Positions (direct):
Ga1 0.000 0.000 0.000
C1 0.000 0.000 0.500
Cl1 0.500 0.500 0.500
O1 0.000 0.500 0.000
O2 0.500 0.000 0.000

No. 3
A relaxed GaCCl2O crystal. Source: Alexandria via LeMat-Bulk, functional PBE-GGA.

Calculated values
The formation energy without anion corrections is 1.068 eV/atom.

Cell lengths 4.493, 4.493, 4.063 Å; angles 90.00, 90.00, 90.00 degrees
Positions (direct):
Ga1 0.000 0.000 0.000
C1 0.000 0.000 0.500
Cl1 0.000 0.500 0.500
Cl2 0.500 0.000 0.500
O1 0.500 0.500 0.000

No. 4
A relaxed GaC2ClO crystal. Source: Alexandria via LeMat-Bulk, functional PBE-GGA.

Calculated values
The formation energy without anion corrections is 1.882 eV/atom.

Cell lengths 4.270, 4.270, 3.692 Å; angles 90.00, 90.00, 90.00 degrees
Positions (direct):
Ga1 0.000 0.000 0.000
C1 0.000 0.500 0.000
C2 0.500 0.000 0.000
Cl1 0.500 0.500 0.500
O1 0.000 0.000 0.500

No. 5
A relaxed GaPCCl2 crystal. Source: Alexandria via LeMat-Bulk, functional PBE-GGA.

Calculated values
The value obtained for the energy above the most stable polymorph in this dataset is 661 meV/atom. The formation energy without anion corrections is 1.413 eV/atom.

Cell lengths 4.803, 4.803, 4.946 Å; angles 90.00, 90.00, 90.00 degrees
Positions (direct):
Ga1 0.000 0.000 0.000
P1 0.000 0.000 0.500
C1 0.500 0.500 0.500
Cl1 0.000 0.500 0.000
Cl2 0.500 0.000 0.000

No. 6
A relaxed GaPCCl2 crystal. Source: Alexandria via LeMat-Bulk, functional PBE-GGA.

Calculated values
The value obtained for the energy above the most stable polymorph in this dataset is 0 meV/atom. The formation energy without anion corrections is 0.752 eV/atom.

Cell lengths 5.506, 5.506, 3.480 Å; angles 90.00, 90.00, 90.00 degrees
Positions (direct):
Ga1 0.000 0.000 0.000
P1 0.500 0.500 0.000
C1 0.500 0.500 0.500
Cl1 0.000 0.500 0.500
Cl2 0.500 0.000 0.500

No. 7
A relaxed GaPdC2Cl crystal. Source: Alexandria via LeMat-Bulk, functional PBE-GGA.

Calculated values
The value obtained for the energy above the most stable polymorph in this dataset is 37 meV/atom. The formation energy without anion corrections is 1.454 eV/atom.

Cell lengths 3.899, 3.899, 8.591 Å; angles 90.00, 90.00, 90.00 degrees
Positions (direct):
Ga1 0.000 0.000 0.000
Pd1 0.500 0.500 0.500
C1 0.000 0.500 0.500
C2 0.500 0.000 0.500
Cl1 0.500 0.500 0.000

No. 8
A relaxed GaPdC2Cl crystal. Source: Alexandria via LeMat-Bulk, functional PBE-GGA.

Calculated values
The value obtained for the energy above the most stable polymorph in this dataset is 0 meV/atom. The formation energy without anion corrections is 1.417 eV/atom.

Cell lengths 3.917, 3.917, 6.214 Å; angles 90.00, 90.00, 90.00 degrees
Positions (direct):
Ga1 0.000 0.000 0.000
Pd1 0.000 0.000 0.500
C1 0.000 0.500 0.500
C2 0.500 0.000 0.500
Cl1 0.500 0.500 0.000

No. 9
A relaxed Rb2GaCCl6 crystal. Source: Alexandria via LeMat-Bulk, functional PBE-GGA.

Calculated values
The formation energy without anion corrections is -0.656 eV/atom.

Cell lengths 6.975, 6.975, 6.975 Å; angles 119.93, 119.93, 90.13 degrees
Positions (direct):
Rb1 0.250 0.750 0.500
Rb2 0.750 0.250 0.500
Ga1 0.000 0.000 0.000
C1 0.500 0.500 0.000
Cl1 0.252 0.252 0.000
Cl2 0.254 0.254 0.509
Cl3 0.254 0.746 0.000
Cl4 0.746 0.254 0.000
Cl5 0.746 0.746 0.491
Cl6 0.748 0.748 0.000

No. 10
A relaxed GaCSCl2 crystal. Source: Alexandria via LeMat-Bulk, functional PBE-GGA.

Calculated values
The value obtained for the energy above the most stable polymorph in this dataset is 497 meV/atom. The formation energy without anion corrections is 1.193 eV/atom.

Cell lengths 4.720, 4.720, 4.926 Å; angles 90.00, 90.00, 90.00 degrees
Positions (direct):
Ga1 0.000 0.000 0.000
C1 0.500 0.500 0.500
S1 0.000 0.000 0.500
Cl1 0.000 0.500 0.000
Cl2 0.500 0.000 0.000

No. 11
A relaxed GaCSCl2 crystal. Source: Alexandria via LeMat-Bulk, functional PBE-GGA.

Calculated values
The value obtained for the energy above the most stable polymorph in this dataset is 0 meV/atom. The formation energy without anion corrections is 0.695 eV/atom.

Cell lengths 5.369, 5.369, 3.596 Å; angles 90.00, 90.00, 90.00 degrees
Positions (direct):
Ga1 0.000 0.000 0.000
C1 0.500 0.500 0.500
S1 0.500 0.500 0.000
Cl1 0.000 0.500 0.500
Cl2 0.500 0.000 0.500

No. 12
A relaxed GaCS2Cl crystal. Source: Alexandria via LeMat-Bulk, functional PBE-GGA.

Calculated values
The value obtained for the energy above the most stable polymorph in this dataset is 0 meV/atom. The formation energy without anion corrections is 0.806 eV/atom.

Cell lengths 3.932, 3.932, 7.342 Å; angles 90.00, 90.00, 90.00 degrees
Positions (direct):
Ga1 0.000 0.000 0.000
C1 0.500 0.500 0.500
S1 0.000 0.500 0.500
S2 0.500 0.000 0.500
Cl1 0.500 0.500 0.000

No. 13
A relaxed GaCS2Cl crystal. Source: Alexandria via LeMat-Bulk, functional PBE-GGA.

Calculated values
The value obtained for the energy above the most stable polymorph in this dataset is 747 meV/atom. The formation energy without anion corrections is 1.553 eV/atom.

Cell lengths 4.738, 4.738, 4.639 Å; angles 90.00, 90.00, 90.00 degrees
Positions (direct):
Ga1 0.000 0.000 0.000
C1 0.500 0.500 0.500
S1 0.000 0.500 0.000
S2 0.500 0.000 0.000
Cl1 0.000 0.000 0.500